1.
Entry from the Alexandria database: a relaxed structure of CaZnSe2 (GGA-PBEsol).

Lattice parameters (Å, degrees): 3.5853 3.7449 13.0928 90.00 90.00 90.00
Space group Imm2 (No. 44)
Symmetry-distinct sites (fractional):
Ca 0.0000 0.0000 0.0000 x2
Zn 0.0000 0.5000 0.7524 x2
Se 0.0000 0.0000 0.4015 x2
Se 0.0000 0.5000 0.1732 x2

The formation energy without anion corrections is -968 meV/atom. The value obtained for the total DFT energy (no corrections) is -3.8219 eV/atom.

=====

2.
Entry from the Alexandria database: a relaxed structure of NaAuSeBr2 (GGA-PBEsol).

Lattice parameters (Å, degrees): 5.3044 5.3044 5.0246 90.00 90.00 90.00
Space group P4/mmm (No. 123)
Symmetry-distinct sites (fractional):
Na 0.0000 0.0000 0.0000 x1
Au 0.5000 0.5000 0.5000 x1
Se 0.5000 0.5000 0.0000 x1
Br 0.0000 0.5000 0.5000 x2

The formation energy without anion corrections is -298 meV/atom. The value obtained for the total DFT energy (no corrections) is -2.8806 eV/atom.

=====

3.
Entry from the Alexandria database: a relaxed structure of LaSc3Ir (GGA-PBEsol).

Lattice parameters (Å, degrees): 4.8971 4.8971 4.8971 90.00 90.00 90.00
Space group Pm-3m (No. 221)
Symmetry-distinct sites (fractional):
La 0.0000 0.0000 0.0000 x1
Sc 0.0000 0.0000 0.5000 x3
Ir 0.5000 0.5000 0.5000 x1

The value obtained for the total DFT energy (no corrections) is -5.7112 eV/atom. The value obtained for the formation energy is 1.286 eV per atom.

=====

4.
Entry from the Alexandria database: a relaxed structure of DyNbO4 (GGA-PBEsol).

Lattice parameters (Å, degrees): 5.1845 5.1845 10.8919 90.00 90.00 90.00
Space group I4_1/a (No. 88, origin choice 2)
Symmetry-distinct sites (fractional):
Dy 0.0000 0.2500 0.1250 x4
Nb 0.0000 0.2500 0.6250 x4
O 0.1827 0.4994 0.2830 x16

The formation energy without anion corrections is -3130 meV/atom. The value obtained for the total DFT energy (no corrections) is -9.2631 eV/atom.

=====

5.
Entry from the Alexandria database: a relaxed structure of Ce2H5 (GGA-PBEsol).

Lattice parameters (Å, degrees): 5.3444 5.3444 10.6404 90.00 90.00 90.00
Space group I4_1/amd (No. 141, origin choice 2)
Symmetry-distinct sites (fractional):
Ce 0.0000 0.2500 0.1168 x8
H 0.0000 0.2500 0.8750 x4
H 0.2281 0.0000 0.5000 x16

The value obtained for the total DFT energy (no corrections) is -4.7467 eV/atom.

=====

6.
Entry from the Alexandria database: a relaxed structure of Sc2AgSe (GGA-PBEsol).

Lattice parameters (Å, degrees): 3.8967 3.8967 10.1580 90.00 90.00 90.00
Space group I-4m2 (No. 119)
Symmetry-distinct sites (fractional):
Sc 0.0000 0.0000 0.0000 x2
Sc 0.0000 0.5000 0.2500 x2
Ag 0.0000 0.5000 0.7500 x2
Se 0.0000 0.0000 0.5000 x2

The formation energy without anion corrections is -632 meV/atom. The value obtained for the total DFT energy (no corrections) is -5.7251 eV/atom.

=====

7.
Entry from the Alexandria database: a relaxed structure of LiBeMo (GGA-PBEsol).

Lattice parameters (Å, degrees): 5.3505 5.3505 5.3505 90.00 90.00 90.00
Space group F-43m (No. 216)
Symmetry-distinct sites (fractional):
Li 0.0000 0.0000 0.0000 x4
Be 0.2500 0.2500 0.7500 x4
Mo 0.0000 0.0000 0.5000 x4

The distance to the lowest polymorph of the same formula is 0.660 eV/atom. The value obtained for the total DFT energy (no corrections) is -4.9881 eV/atom. The value obtained for the formation energy is 0.923 eV per atom.

=====

8.
Entry from the Alexandria database: a relaxed structure of PdAuO2 (GGA-PBEsol).

Lattice parameters (Å, degrees): 3.1792 3.1792 12.0825 90.00 90.00 120.00
Space group P6_3/mmc (No. 194)
Symmetry-distinct sites (fractional):
Pd 0.0000 0.0000 0.0000 x2
Au 0.3333 0.6667 0.2500 x2
O 0.3333 0.6667 0.0824 x4

The formation energy without anion corrections is -239 meV/atom. The value obtained for the total DFT energy (no corrections) is -5.3341 eV/atom.

=====

9.
Entry from the Alexandria database: a relaxed structure of Ti2Be2Sb (GGA-PBEsol).

Lattice parameters (Å, degrees): 6.1658 6.1658 3.6248 90.00 90.00 90.00
Space group P4/mbm (No. 127)
Symmetry-distinct sites (fractional):
Ti 0.1721 0.3279 0.0000 x4
Be 0.1150 0.6150 0.5000 x4
Sb 0.0000 0.0000 0.5000 x2

The formation energy without anion corrections is -264 meV/atom. The distance to the lowest polymorph of the same formula is 0.000 eV/atom. The value obtained for the total DFT energy (no corrections) is -6.1048 eV/atom.

=====

10.
Entry from the Alexandria database: a relaxed structure of ZrFeBr2 (GGA-PBEsol).

Lattice parameters (Å, degrees): 3.2182 4.3110 5.6294 90.00 90.00 90.00
Space group Pmmm (No. 47)
Symmetry-distinct sites (fractional):
Zr 0.0000 0.0000 0.0000 x1
Fe 0.5000 0.0000 0.5000 x1
Br 0.0000 0.5000 0.5000 x1
Br 0.5000 0.5000 0.0000 x1

The formation energy without anion corrections is 144 meV/atom. The distance to the lowest polymorph of the same formula is 0.000 eV/atom. The value obtained for the total DFT energy (no corrections) is -5.3047 eV/atom.

=====

11.
Entry from the Alexandria database: a relaxed structure of ZnFe2Os (GGA-PBEsol).

Lattice parameters (Å, degrees): 3.9998 3.9998 3.1291 90.00 90.00 90.00
Space group P4/mmm (No. 123)
Symmetry-distinct sites (fractional):
Zn 0.0000 0.0000 0.0000 x1
Fe 0.0000 0.5000 0.5000 x2
Os 0.5000 0.5000 0.0000 x1

The value obtained for the total DFT energy (no corrections) is -7.7060 eV/atom. The value obtained for the formation energy is 0.225 eV per atom.

=====

12.
Entry from the Alexandria database: a relaxed structure of CsHgBr3 (GGA-PBEsol).

Lattice parameters (Å, degrees): 5.5370 5.5370 5.5370 90.00 90.00 90.00
Space group Pm-3m (No. 221)
Symmetry-distinct sites (fractional):
Cs 0.0000 0.0000 0.0000 x1
Hg 0.5000 0.5000 0.5000 x1
Br 0.0000 0.5000 0.5000 x3

The formation energy without anion corrections is -988 meV/atom. The value obtained for the total DFT energy (no corrections) is -2.4118 eV/atom.